DFT (PBE) results for Sm6TlCo2 after structural relaxation.

a = 8.5703 Å, b = 8.5703 Å, c = 8.5703 Å
α = 107.42°, β = 108.67°, γ = 112.36°
Sites, in units of the cell vectors:
Sm (0.2068, 0.2342, 0.4410)
Sm (0.7932, 0.2342, 0.0274)
Tl (0.0000, 0.0000, 0.0000)
Co (0.5000, 0.3886, 0.8886)
Co (0.5000, 0.6114, 0.1114)
Sm (0.8973, 0.7138, 0.1835)
Sm (0.3137, 0.9898, 0.6761)
Sm (0.2068, 0.7658, 0.9726)
Sm (0.7932, 0.7658, 0.5590)
Co (0.6566, 0.0000, 0.6566)
Sm (0.4697, 0.2862, 0.1835)
Sm (0.1027, 0.2862, 0.8165)
Sm (0.6863, 0.0102, 0.3239)
Sm (0.3137, 0.6376, 0.3239)
Tl (0.0000, 0.5000, 0.5000)
Sm (0.6863, 0.3624, 0.6761)
Sm (0.5303, 0.7138, 0.8165)
Co (0.3434, 0.0000, 0.3434)

Energy relative to the elements   -180.0 meV/atom
Density   8.41 g/cm³
Symmetry   Immm, No. 71

DFT (PBE) results for Sm8Tl2Co after structural relaxation.

a = 5.7677 Å, b = 9.3222 Å, c = 9.3222 Å
α = 121.23°, β = 108.73°, γ = 108.73°
Sites, in units of the cell vectors:
Sm (0.7379, 0.1845, 0.4083)
Sm (0.0002, 0.8172, 0.2218)
Tl (0.4903, 0.7151, 0.3203)
Tl (0.4903, 0.3203, 0.7151)
Sm (0.2926, 0.9091, 0.6837)
Co (0.3260, 0.0191, 0.0191)
Sm (0.0002, 0.2218, 0.8172)
Sm (0.6409, 0.6340, 0.6340)
Sm (0.7379, 0.4083, 0.1845)
Sm (0.9907, 0.1210, 0.1210)
Sm (0.2926, 0.6837, 0.9091)

ΔE to the lowest computed polymorph   0 meV per atom
Energy relative to the elements   -143.6 meV/atom
Density   8.56 g/cm³
Symmetry   Cm, No. 8

DFT (PBE) results for SmTmTlCo after structural relaxation.

a = 5.1296 Å, b = 5.1296 Å, c = 5.1296 Å
α = 60.00°, β = 60.00°, γ = 60.00°
Each line ends with the local moment (μB).
Sites, in units of the cell vectors:
Tl (0.0000, 0.0000, 0.0000)  0.04
Sm (0.7500, 0.7500, 0.7500)  -0.08
Tm (0.2500, 0.2500, 0.2500)  -0.12
Co (0.5000, 0.5000, 0.5000)  1.47

Energy relative to the elements   -99.8 meV/atom
Density   10.14 g/cm³
Symmetry   F-43m, No. 216

DFT (PBE) results for Sm2Tm2Co after structural relaxation.

a = 6.9164 Å, b = 6.9164 Å, c = 7.8883 Å
α = 108.32°, β = 108.32°, γ = 114.60°
Sites, in units of the cell vectors:
Tm (0.3622, 0.3622, 0.1078)
Sm (0.9906, 0.4464, 0.7539)
Sm (0.5536, 0.0094, 0.2461)
Sm (0.0094, 0.5536, 0.2461)
Co (0.1135, 0.8865, 0.0000)
Tm (0.1489, 0.1489, 0.3811)
Co (0.8865, 0.1135, 0.0000)
Sm (0.4464, 0.9906, 0.7539)
Tm (0.8511, 0.8511, 0.6189)
Tm (0.6378, 0.6378, 0.8922)

Energy relative to the elements   -65.0 meV/atom
Density   8.30 g/cm³
Symmetry   C2/m, No. 12

DFT (PBE) results for Sm2Tm3Co2 after structural relaxation.

a = 3.6072 Å, b = 6.2879 Å, c = 8.9041 Å
α = 115.26°, β = 90.00°, γ = 106.67°
Sites, in units of the cell vectors:
Sm (0.1697, 0.3395, 0.8015)
Tm (0.5000, 0.0000, 0.0000)
Tm (0.3802, 0.7604, 0.5741)
Co (0.8243, 0.6485, 0.7582)
Tm (0.6198, 0.2396, 0.4259)
Sm (0.8303, 0.6605, 0.1985)
Co (0.1757, 0.3515, 0.2418)

Energy relative to the elements   -166.3 meV/atom
Density   8.87 g/cm³
Symmetry   C2/m, No. 12

DFT (PBE) results for Sm2TmCo after structural relaxation.

a = 6.2183 Å, b = 6.5079 Å, c = 11.2493 Å
α = 90.00°, β = 90.00°, γ = 90.00°
Sites, in units of the cell vectors:
Sm (0.2548, 0.0877, 0.0872)
Co (0.0000, 0.2500, 0.5887)
Co (0.0000, 0.7500, 0.4113)
Sm (0.2451, 0.0877, 0.4128)
Sm (0.2452, 0.5877, 0.5872)
Sm (0.7549, 0.9123, 0.5872)
Tm (0.7500, 0.4187, 0.7500)
Sm (0.7548, 0.4123, 0.4128)
Sm (0.7451, 0.4123, 0.0872)
Co (0.5000, 0.7500, 0.0887)
Tm (0.2500, 0.0813, 0.7500)
Sm (0.7452, 0.9123, 0.9128)
Co (0.5000, 0.2500, 0.9113)
Sm (0.2549, 0.5877, 0.9128)
Tm (0.2500, 0.5813, 0.2500)
Tm (0.7500, 0.9187, 0.2500)

ΔE to the lowest computed polymorph   57 meV per atom
Energy relative to the elements   -65.9 meV/atom
Density   7.71 g/cm³
Symmetry   Pnna, No. 52

DFT (PBE) results for SmTm2Co2 after structural relaxation.

a = 3.7319 Å, b = 5.4625 Å, c = 5.9502 Å
α = 103.16°, β = 108.28°, γ = 90.00°
Sites, in units of the cell vectors:
Sm (0.0000, 0.0000, 0.0000)
Co (0.7184, 0.1049, 0.4369)
Co (0.2816, 0.8951, 0.5631)
Tm (0.3498, 0.4179, 0.6996)
Tm (0.6502, 0.5821, 0.3004)

Energy relative to the elements   -96.1 meV/atom
Density   9.00 g/cm³
Symmetry   C2/m, No. 12

DFT (PBE) results for Sm3TmCo8 after structural relaxation.

a = 5.1053 Å, b = 5.1053 Å, c = 8.8547 Å
α = 73.24°, β = 73.24°, γ = 60.00°
Each line ends with the local moment (μB).
Sites, in units of the cell vectors:
Co (0.4422, 0.9371, 0.6836)  1.14
Tm (0.8752, 0.8752, 0.3745)  -0.36
Co (0.6874, 0.6874, 0.9378)  1.10
Sm (0.5001, 0.5001, 0.4998)  -0.22
Co (0.4371, 0.4371, 0.1916)  1.15
Sm (0.3748, 0.3748, 0.8755)  -0.23
Co (0.9342, 0.4371, 0.1916)  1.15
Co (0.4371, 0.9342, 0.1916)  1.15
Sm (0.9998, 0.9998, 0.0006)  -0.22
Co (0.1879, 0.1879, 0.4363)  1.18
Co (0.9371, 0.9371, 0.6836)  1.14
Co (0.9371, 0.4422, 0.6836)  1.14

Energy relative to the elements   -133.1 meV/atom
Density   9.62 g/cm³
Symmetry   R3m, No. 160

DFT (PBE) results for Sm2TmCo after structural relaxation.

a = 3.5995 Å, b = 3.5995 Å, c = 10.5802 Å
α = 80.21°, β = 80.21°, γ = 60.00°
Sites, in units of the cell vectors:
Co (0.5000, 0.5000, 0.5000)
Tm (0.0000, 0.0000, 0.0000)
Sm (0.1116, 0.1116, 0.6652)
Sm (0.8884, 0.8884, 0.3348)

ΔE to the lowest computed polymorph   348 meV per atom
Energy relative to the elements   225.8 meV/atom
Density   7.54 g/cm³
Symmetry   R-3m, No. 166

DFT (PBE) results for SmTm3Co2 after structural relaxation.

a = 4.9092 Å, b = 8.9513 Å, c = 7.9754 Å
α = 124.78°, β = 90.00°, γ = 105.92°
Sites, in units of the cell vectors:
Sm (0.1329, 0.2658, 0.0445)
Co (0.4942, 0.9884, 0.1402)
Tm (0.3189, 0.6377, 0.6327)
Sm (0.8671, 0.7342, 0.9555)
Co (0.7753, 0.5507, 0.1828)
Tm (0.6306, 0.2612, 0.7521)
Co (0.2247, 0.4493, 0.8172)
Tm (0.3694, 0.7388, 0.2479)
Tm (0.0680, 0.1359, 0.4045)
Co (0.5058, 0.0116, 0.8598)
Tm (0.6811, 0.3623, 0.3673)
Tm (0.9320, 0.8641, 0.5955)

ΔE to the lowest computed polymorph   96 meV per atom
Energy relative to the elements   -63.1 meV/atom
Density   9.49 g/cm³
Symmetry   C2/m, No. 12

DFT (PBE) results for Sm8TmCo2 after structural relaxation.

a = 7.2875 Å, b = 7.3899 Å, c = 7.3899 Å
α = 68.08°, β = 107.87°, γ = 107.87°
Sites, in units of the cell vectors:
Tm (0.0000, 0.0000, 0.0000)
Sm (0.6904, 0.1285, 0.1285)
Sm (0.3096, 0.8715, 0.8715)
Sm (0.3165, 0.4124, 0.8070)
Co (0.6105, 0.8145, 0.8145)
Sm (0.6835, 0.5876, 0.1930)
Co (0.3895, 0.1855, 0.1855)
Sm (0.6835, 0.1930, 0.5876)
Sm (0.8167, 0.6782, 0.6782)
Sm (0.3165, 0.8070, 0.4124)
Sm (0.1833, 0.3218, 0.3218)

Energy relative to the elements   76.1 meV/atom
Density   7.21 g/cm³
Symmetry   C2/m, No. 12

DFT (PBE) results for Sm3Tm2Co2 after structural relaxation.

a = 3.7269 Å, b = 6.2651 Å, c = 8.4655 Å
α = 100.61°, β = 102.71°, γ = 107.32°
Sites, in units of the cell vectors:
Co (0.9422, 0.1258, 0.7594)
Tm (0.6350, 0.4603, 0.8099)
Tm (0.3650, 0.5397, 0.1901)
Co (0.0578, 0.8742, 0.2406)
Sm (0.8113, 0.1953, 0.4263)
Sm (0.5000, 0.0000, 0.0000)
Sm (0.1887, 0.8047, 0.5737)

Energy relative to the elements   -125.1 meV/atom
Density   8.49 g/cm³
Symmetry   C2/m, No. 12

What is the density in the ninth record? 7.54 g/cm³

Which of these has the lowest density? Sm8TmCo2